No. 1
## Fe2GeSeF (PBE with a Hubbard U)

Data for a geometry-optimized Fe2GeSeF structure.

a = 4.172 Å, b = 4.172 Å, c = 5.762 Å
α = 90.00°, β = 90.00°, γ = 90.00°
Space group P4/mmm (No. 123)
Symmetry-distinct sites (fractional):
Fe1 0.000 0.500 0.000
Ge1 0.000 0.000 0.500
Se1 0.500 0.500 0.500
F1 0.500 0.500 0.000

## Properties
E_tot (eV for the cell shown): -21.1
N(E_F) (states/eV/cell): 2.190

No. 2
## FeHF2 (PBE with a Hubbard U)

Data for a geometry-optimized FeHF2 structure.

a = 3.0907 Å, b = 3.0907 Å, c = 15.7099 Å
α = 90.00°, β = 90.00°, γ = 120.00°
Space group R-3m (No. 166, hexagonal axes)
Symmetry-distinct sites (fractional):
Fe1 0.0000 0.0000 0.0000
H1 0.0000 0.0000 0.5000
F1 0.0000 0.0000 0.4267

## Properties
Energy above the lowest structure with this stoichiometry (eV per atom): 0.0177
N(E_F) (states/eV/cell): 5.012

Number 1: total magnetic moment 7.6 μB/cell. Number 2: total magnetic moment 9.5 μB/cell.